## Ho6Si2TeSe3 (PBE)

Data for a geometry-optimized Ho6Si2TeSe3 structure.

```
data_Ho6Si2TeSe3
_space_group_name_H-M_alt 'C 1 2/m 1'
_space_group_IT_number 12
_space_group_name_Hall '-C 2y'
_cell_length_a 17.985
_cell_length_b 4.123
_cell_length_c 8.328
_cell_angle_alpha 90.00
_cell_angle_beta 102.72
_cell_angle_gamma 90.00
loop_
_atom_site_label
_atom_site_fract_x
_atom_site_fract_y
_atom_site_fract_z
Ho1 0.009 0.000 0.271
Ho2 0.171 0.500 0.576
Ho3 0.174 0.500 0.108
Si1 0.168 0.000 0.336
Te1 0.000 0.500 0.000
Se1 0.000 0.500 0.500
Se2 0.162 0.000 0.837
```


## DyPuOsRu (PBE)

Data for a geometry-optimized DyPuOsRu structure.

```
data_DyPuOsRu
_space_group_name_H-M_alt 'F -4 3 m'
_space_group_IT_number 216
_space_group_name_Hall 'F -4 2 3'
_cell_length_a 6.778
_cell_length_b 6.778
_cell_length_c 6.778
_cell_angle_alpha 90.00
_cell_angle_beta 90.00
_cell_angle_gamma 90.00
loop_
_atom_site_label
_atom_site_fract_x
_atom_site_fract_y
_atom_site_fract_z
Dy1 0.000 0.000 0.000
Pu1 0.000 0.000 0.500
Os1 0.250 0.250 0.250
Ru1 0.250 0.250 0.750
```


## Pr2ZnPd3Au12 (PBE)

Data for a geometry-optimized Pr2ZnPd3Au12 structure.

```
data_Pr2ZnPd3Au12
_space_group_name_H-M_alt 'R -3 m'
_space_group_IT_number 166
_space_group_name_Hall '-R 3 2"'
_cell_length_a 8.7015
_cell_length_b 8.7015
_cell_length_c 19.9609
_cell_angle_alpha 90.00
_cell_angle_beta 90.00
_cell_angle_gamma 120.00
loop_
_atom_site_label
_atom_site_fract_x
_atom_site_fract_y
_atom_site_fract_z
Pr1 0.0000 0.0000 0.1178
Zn1 0.0000 0.0000 0.5000
Pd1 0.0000 0.5000 0.0000
Au1 0.0039 0.5020 0.1343
Au2 0.0374 0.5187 0.3944
```


# K2LiSb | Alexandria | PBE | optimized geometry
# relative energy among the computed polymorphs	55	meV per atom
data_K2LiSb
_space_group_name_H-M_alt 'I m m 2'
_space_group_IT_number 44
_space_group_name_Hall 'I 2 -2'
_cell_length_a 4.955
_cell_length_b 6.064
_cell_length_c 9.582
_cell_angle_alpha 90.00
_cell_angle_beta 90.00
_cell_angle_gamma 90.00
loop_
_atom_site_label
_atom_site_fract_x
_atom_site_fract_y
_atom_site_fract_z
K1 0.000 0.000 0.000
K2 0.000 0.500 0.190
Li1 0.000 0.500 0.804
Sb1 0.000 0.000 0.405


# Pm2PuP3 | Alexandria | PBE | optimized geometry
# relative energy among the computed polymorphs	0	meV per atom
data_Pm2PuP3
_space_group_name_H-M_alt 'I m m m'
_space_group_IT_number 71
_space_group_name_Hall '-I 2 2'
_cell_length_a 4.093
_cell_length_b 5.768
_cell_length_c 12.227
_cell_angle_alpha 90.00
_cell_angle_beta 90.00
_cell_angle_gamma 90.00
loop_
_atom_site_label
_atom_site_fract_x
_atom_site_fract_y
_atom_site_fract_z
Pm1 0.000 0.000 0.168
Pu1 0.000 0.000 0.500
P1 0.000 0.500 0.159
P2 0.000 0.500 0.500


# TlRe2Ag | Alexandria | PBE | optimized geometry
# relative energy among the computed polymorphs	724	meV per atom
data_TlRe2Ag
_space_group_name_H-M_alt 'P 4/m m m'
_space_group_IT_number 123
_space_group_name_Hall '-P 4 2'
_cell_length_a 2.752
_cell_length_b 2.752
_cell_length_c 9.333
_cell_angle_alpha 90.00
_cell_angle_beta 90.00
_cell_angle_gamma 90.00
loop_
_atom_site_label
_atom_site_fract_x
_atom_site_fract_y
_atom_site_fract_z
Tl1 0.000 0.000 0.000
Re1 0.500 0.500 0.265
Ag1 0.000 0.000 0.500


Number 1: VASP energy -5.72 eV/atom. Number 2: VASP energy -10.01 eV/atom. Number 3: VASP energy -3.65 eV/atom. Number 4: VASP energy -2.48 eV/atom. Number 5: VASP energy -8.09 eV/atom. Number 6: VASP energy -6.34 eV/atom.